1.
DFT (PBE) results for ZrAgO3 after structural relaxation.

Computed properties:
VASP energy: -6.711 eV per atom
Total moment: 0.0 Bohr magnetons per cell

Cell lengths 3.352, 3.352, 5.612 Å; angles 90.00, 90.00, 90.00 degrees
Space group P4mm (No. 99)
One atom of each set of equivalent atoms:
Zr 0.000 0.000 0.000 [1 per cell]
Ag 0.500 0.500 0.497 [1 per cell]
O 0.000 0.500 0.221 [2 per cell]
O 0.500 0.500 0.863 [1 per cell]

***

2.
DFT (PBE) results for NaPuBe after structural relaxation.

Computed properties:
VASP energy: -5.568 eV per atom
Total moment: 26.4 Bohr magnetons per cell

Cell lengths 6.721, 6.721, 6.721 Å; angles 90.00, 90.00, 90.00 degrees
Space group F-43m (No. 216)
One atom of each set of equivalent atoms:
Na 0.000 0.000 0.000 [4 per cell]
Pu 0.000 0.000 0.500 [4 per cell]
Be 0.250 0.250 0.250 [4 per cell]

***

3.
DFT (PBE) results for SrTc2Ag after structural relaxation.

Computed properties:
VASP energy: -5.511 eV per atom
Total moment: 1.6 Bohr magnetons per cell

Cell lengths 6.698, 6.698, 6.698 Å; angles 90.00, 90.00, 90.00 degrees
Space group F-43m (No. 216)
One atom of each set of equivalent atoms:
Sr 0.000 0.000 0.000 [4 per cell]
Tc 0.000 0.000 0.500 [4 per cell]
Tc 0.250 0.250 0.250 [4 per cell]
Ag 0.250 0.250 0.750 [4 per cell]

***

4.
DFT (PBE) results for NaTmFeTe3 after structural relaxation.

Computed properties:
VASP energy: -4.678 eV per atom
Total moment: 15.7 Bohr magnetons per cell

Cell lengths 11.317, 4.255, 14.341 Å; angles 90.00, 90.00, 90.00 degrees
Space group Pnma (No. 62)
One atom of each set of equivalent atoms:
Na 0.225 0.250 0.011 [4 per cell]
Tm 0.014 0.750 0.744 [4 per cell]
Fe 0.239 0.750 0.219 [4 per cell]
Te 0.050 0.750 0.115 [4 per cell]
Te 0.082 0.250 0.604 [4 per cell]
Te 0.239 0.250 0.332 [4 per cell]

***

5.
DFT (PBE) results for K3IrO6 after structural relaxation.

Computed properties:
VASP energy: -5.160 eV per atom
Total moment: 0.0 Bohr magnetons per cell

Cell lengths 8.692, 8.692, 8.692 Å; angles 90.00, 90.00, 90.00 degrees
Space group Fm-3m (No. 225)
One atom of each set of equivalent atoms:
K 0.000 0.000 0.000 [4 per cell]
K 0.250 0.250 0.250 [8 per cell]
Ir 0.000 0.000 0.500 [4 per cell]
O 0.000 0.000 0.287 [24 per cell]

***

6.
DFT (PBE) results for NaDySc after structural relaxation.

Computed properties:
VASP energy: -3.181 eV per atom
Total moment: 6.5 Bohr magnetons per cell

Cell lengths 7.286, 7.286, 7.286 Å; angles 90.00, 90.00, 90.00 degrees
Space group F-43m (No. 216)
One atom of each set of equivalent atoms:
Na 0.000 0.000 0.000 [4 per cell]
Dy 0.250 0.250 0.750 [4 per cell]
Sc 0.250 0.250 0.250 [4 per cell]